DFT (PBEsol) results for an optimized crystal structure of ReSiCl2.

Cell and atoms, written as extended XYZ:
```
4
Lattice="0.000 3.128 3.128 3.128 0.000 3.128 3.128 3.128 0.000" Properties=species:S:1:pos:R:3 pbc="T T T"
Re 0.000 0.000 0.000
Si 4.693 4.693 4.693
Cl 1.564 1.564 1.564
Cl 3.128 3.128 3.128
```

raw formation energy: 3.8 eV per formula unit
symmetry: F-43m, No. 216